[1]
# BaSbSe2N | Alexandria via LeMat-Bulk | PBE | relaxed
data_BaSbSe2N
_space_group_name_H-M_alt 'P 4/m m m'
_space_group_IT_number 123
_space_group_name_Hall '-P 4 2'
_cell_length_a 5.5167
_cell_length_b 5.5167
_cell_length_c 4.1945
_cell_angle_alpha 90.00
_cell_angle_beta 90.00
_cell_angle_gamma 90.00
loop_
_atom_site_label
_atom_site_fract_x
_atom_site_fract_y
_atom_site_fract_z
_atom_site_occupancy
Ba1 0.0000 0.0000 0.0000 1
Sb1 0.5000 0.5000 0.5000 1
Se1 0.0000 0.5000 0.5000 1
N1 0.5000 0.5000 0.0000 1
# ΔE to the lowest computed polymorph in eV per atom: 0.000
# Calculated volume in Å³ per atom: 25.53

=====

[2]
# BaSbSe2N | Alexandria via LeMat-Bulk | PBE | relaxed
data_BaSbSe2N
_space_group_name_H-M_alt 'P 4/m m m'
_space_group_IT_number 123
_space_group_name_Hall '-P 4 2'
_cell_length_a 6.0083
_cell_length_b 6.0083
_cell_length_c 4.3164
_cell_angle_alpha 90.00
_cell_angle_beta 90.00
_cell_angle_gamma 90.00
loop_
_atom_site_label
_atom_site_fract_x
_atom_site_fract_y
_atom_site_fract_z
_atom_site_occupancy
Ba1 0.0000 0.0000 0.0000 1
Sb1 0.5000 0.5000 0.5000 1
Se1 0.0000 0.5000 0.0000 1
N1 0.0000 0.0000 0.5000 1
# ΔE to the lowest computed polymorph in eV per atom: 1.325
# Calculated volume in Å³ per atom: 31.16

=====

[3]
# Ba3Sr3Sb2N2 | Alexandria via LeMat-Bulk | PBE | relaxed
data_Ba3Sr3Sb2N2
_space_group_name_H-M_alt 'P 63/m m c'
_space_group_IT_number 194
_space_group_name_Hall '-P 6c 2c'
_cell_length_a 7.5336
_cell_length_b 7.5336
_cell_length_c 12.7201
_cell_angle_alpha 90.00
_cell_angle_beta 90.00
_cell_angle_gamma 120.00
loop_
_atom_site_label
_atom_site_fract_x
_atom_site_fract_y
_atom_site_fract_z
_atom_site_occupancy
Ba1 0.1725 0.3451 0.2500 1
Sr1 0.0000 0.5000 0.0000 1
Sb1 0.0000 0.0000 0.0000 1
Sb2 0.3333 0.6667 0.7500 1
N1 0.3333 0.6667 0.1131 1
# Calculated volume in Å³ per atom: 31.26

=====

[4]
# BaSr2SbN | Alexandria via LeMat-Bulk | PBE | relaxed
data_BaSr2SbN
_space_group_name_H-M_alt 'P 4/m m m'
_space_group_IT_number 123
_space_group_name_Hall '-P 4 2'
_cell_length_a 5.2568
_cell_length_b 5.2568
_cell_length_c 5.5245
_cell_angle_alpha 90.00
_cell_angle_beta 90.00
_cell_angle_gamma 90.00
loop_
_atom_site_label
_atom_site_fract_x
_atom_site_fract_y
_atom_site_fract_z
_atom_site_occupancy
Ba1 0.0000 0.0000 0.0000 1
Sr1 0.0000 0.5000 0.5000 1
Sb1 0.5000 0.5000 0.0000 1
N1 0.0000 0.0000 0.5000 1
# Calculated volume in Å³ per atom: 30.53

=====

[5]
# BaSbTe2N | Alexandria via LeMat-Bulk | PBE | relaxed
data_BaSbTe2N
_space_group_name_H-M_alt 'P 4/m m m'
_space_group_IT_number 123
_space_group_name_Hall '-P 4 2'
_cell_length_a 6.0056
_cell_length_b 6.0056
_cell_length_c 4.2153
_cell_angle_alpha 90.00
_cell_angle_beta 90.00
_cell_angle_gamma 90.00
loop_
_atom_site_label
_atom_site_fract_x
_atom_site_fract_y
_atom_site_fract_z
_atom_site_occupancy
Ba1 0.0000 0.0000 0.0000 1
Sb1 0.5000 0.5000 0.5000 1
Te1 0.0000 0.5000 0.5000 1
N1 0.5000 0.5000 0.0000 1
# ΔE to the lowest computed polymorph in eV per atom: 0.000
# Calculated volume in Å³ per atom: 30.41

=====

[6]
# BaSbTe2N | Alexandria via LeMat-Bulk | PBE | relaxed
data_BaSbTe2N
_space_group_name_H-M_alt 'P 4/m m m'
_space_group_IT_number 123
_space_group_name_Hall '-P 4 2'
_cell_length_a 6.6124
_cell_length_b 6.6124
_cell_length_c 6.6367
_cell_angle_alpha 90.00
_cell_angle_beta 90.00
_cell_angle_gamma 90.00
loop_
_atom_site_label
_atom_site_fract_x
_atom_site_fract_y
_atom_site_fract_z
_atom_site_occupancy
Ba1 0.0000 0.0000 0.0000 1
Sb1 0.0000 0.0000 0.5000 1
Te1 0.0000 0.5000 0.0000 1
N1 0.5000 0.5000 0.5000 1
# ΔE to the lowest computed polymorph in eV per atom: 1.506
# Calculated volume in Å³ per atom: 58.04

=====

[7]
# BaSbTe2N | Alexandria via LeMat-Bulk | PBE | relaxed
data_BaSbTe2N
_space_group_name_H-M_alt 'P 4/m m m'
_space_group_IT_number 123
_space_group_name_Hall '-P 4 2'
_cell_length_a 5.3158
_cell_length_b 5.3158
_cell_length_c 4.6869
_cell_angle_alpha 90.00
_cell_angle_beta 90.00
_cell_angle_gamma 90.00
loop_
_atom_site_label
_atom_site_fract_x
_atom_site_fract_y
_atom_site_fract_z
_atom_site_occupancy
Ba1 0.0000 0.0000 0.0000 1
Sb1 0.5000 0.5000 0.0000 1
Te1 0.0000 0.5000 0.5000 1
N1 0.5000 0.5000 0.5000 1
# ΔE to the lowest computed polymorph in eV per atom: 0.085
# Calculated volume in Å³ per atom: 26.49

=====

[8]
# BaSbTe2N | Alexandria via LeMat-Bulk | PBE | relaxed
data_BaSbTe2N
_space_group_name_H-M_alt 'P 4/m m m'
_space_group_IT_number 123
_space_group_name_Hall '-P 4 2'
_cell_length_a 6.4846
_cell_length_b 6.4846
_cell_length_c 4.3772
_cell_angle_alpha 90.00
_cell_angle_beta 90.00
_cell_angle_gamma 90.00
loop_
_atom_site_label
_atom_site_fract_x
_atom_site_fract_y
_atom_site_fract_z
_atom_site_occupancy
Ba1 0.0000 0.0000 0.0000 1
Sb1 0.5000 0.5000 0.5000 1
Te1 0.0000 0.5000 0.0000 1
N1 0.0000 0.0000 0.5000 1
# ΔE to the lowest computed polymorph in eV per atom: 1.065
# Calculated volume in Å³ per atom: 36.81

=====

Looking at E_form (uncorrected) for the records above, in order, we have -304.3; 1020.3; -861.8; -850.8; -72.8; 1433.5; 12.4; 992.6 meV/atom.